RbFeBP2HO9 | PBE+U | relaxed

## Properties
magnetic moment	0.336	μB per atom
V	13.1	Å³/atom
electronic total energy	-6.896	eV/atom

The structure in extended XYZ format:
```
60
Lattice="-3.6510 -6.5738 4.1049 7.9245 -1.1426 5.2184 -5.3138 6.2980 5.3597" Properties=species:S:1:pos:R:3 pbc="T T T"
O 4.4716 0.5231 7.6769
O 0.5490 -3.1017 3.7246
O -3.9133 0.6044 8.8491
O 1.1580 2.4898 11.0951
O -2.1984 -3.9082 3.5879
O -1.3804 2.9397 6.9807
O -0.2418 -2.6586 6.0173
O 1.8198 0.0395 6.8862
O -4.0912 -1.6567 10.0379
O -0.5832 2.7927 4.6901
O 0.2064 0.1641 10.6527
O 1.0525 2.6322 7.5733
O 5.7707 -1.0798 6.1272
O -3.4411 -2.2036 5.0743
O -1.9210 -0.4963 9.9371
O -0.4572 -4.2111 9.9929
O -2.5953 3.9222 5.2392
O -6.8111 -0.3386 8.5559
O 0.3400 -4.3581 7.7023
O 2.8730 -2.0228 5.8339
O 4.5744 -2.9742 7.8598
O -2.8602 -1.4579 7.7969
O 0.8806 -0.9221 4.7459
O -5.6147 1.5558 6.8232
O -0.5372 3.7285 9.2288
O -0.7985 1.2402 8.6657
O -5.5120 -1.9416 7.0061
O 2.4007 0.7852 9.6088
O 3.0508 0.2383 4.6452
O -4.6258 -4.5966 6.0187
O -0.5032 -5.1469 5.4542
O 1.5550 -5.3406 9.4438
O -1.5893 1.6833 10.9585
O -1.2467 -1.5825 4.0304
O 3.5855 3.1781 8.6643
O -2.0928 -4.0506 7.1097
P -0.3648 2.6599 8.1517
P -0.6756 -4.0783 6.5313
P 1.5354 1.0174 10.8683
P -2.5757 -2.4358 3.8148
P 2.1886 -0.6755 5.5882
P 5.5822 0.3710 6.6257
P -3.2289 -0.7429 9.0948
P -6.6226 -1.7894 8.0574
H -1.2467 -3.7508 9.6558
H -2.5309 1.8700 10.7922
H 1.4905 -3.2885 3.8908
H 0.2064 2.3323 5.0272
Rb -1.8190 -0.9302 12.8759
Rb -2.9292 0.7683 5.6686
Rb 0.7787 -0.4883 1.8071
Rb 1.8889 -2.1868 9.0144
B -1.2239 3.6761 5.7131
B 0.1836 -5.0946 8.9699
B -1.0213 0.6689 10.0172
B -0.0190 -2.0873 4.6658
Fe 2.7586 1.5711 7.8381
Fe -5.8019 1.3371 8.7895
Fe 4.7615 -2.7555 5.8936
Fe -3.7990 -2.9895 6.8449
```